(1)
# NaLaN2 | the Alexandria database | GGA-PBE | relaxed
data_NaLaN2
_chemical_formula_sum 'Na4 La4 N8'
_symmetry_space_group_name_H-M 'I -4 2 d'
_symmetry_Int_Tables_number 122
_symmetry_space_group_name_Hall 'I -4 2bw'
_cell_length_a 5.372
_cell_length_b 5.372
_cell_length_c 11.783
_cell_angle_alpha 90.00
_cell_angle_beta 90.00
_cell_angle_gamma 90.00
loop_
_atom_site_label
_atom_site_type_symbol
_atom_site_fract_x
_atom_site_fract_y
_atom_site_fract_z
Na1 Na 0.000 0.000 0.000
La1 La 0.000 0.000 0.500
N1 N 0.224 0.250 0.625
# - E above lowest polymorph: 0.44 eV per formula unit
# - Spin magnetization: 8.0 μB per cell
# - Raw formation energy: 25 kJ/mol of formula units
# - V: 21.3 Å³ per atom

---

(2)
# NaLaN3 | the Alexandria database | GGA-PBE | relaxed
data_NaLaN3
_chemical_formula_sum 'Na1 La1 N3'
_symmetry_space_group_name_H-M 'P m -3 m'
_symmetry_Int_Tables_number 221
_symmetry_space_group_name_Hall '-P 4 2 3'
_cell_length_a 4.149
_cell_length_b 4.149
_cell_length_c 4.149
_cell_angle_alpha 90.00
_cell_angle_beta 90.00
_cell_angle_gamma 90.00
loop_
_atom_site_label
_atom_site_type_symbol
_atom_site_fract_x
_atom_site_fract_y
_atom_site_fract_z
Na1 Na 0.000 0.000 0.000
La1 La 0.500 0.500 0.500
N1 N 0.000 0.000 0.500
# - Spin magnetization: 5.0 μB per cell
# - Raw formation energy: 559 kJ/mol of formula units
# - V: 14.3 Å³ per atom

---

(3)
# Na3La12N5 | the Alexandria database | GGA-PBE | relaxed
data_Na3La12N5
_chemical_formula_sum 'Na24 La96 N40'
_symmetry_space_group_name_H-M 'I a -3 d'
_symmetry_Int_Tables_number 230
_symmetry_space_group_name_Hall '-I 4bd 2c 3'
_cell_length_a 16.837
_cell_length_b 16.837
_cell_length_c 16.837
_cell_angle_alpha 90.00
_cell_angle_beta 90.00
_cell_angle_gamma 90.00
loop_
_atom_site_label
_atom_site_type_symbol
_atom_site_fract_x
_atom_site_fract_y
_atom_site_fract_z
Na1 Na 0.000 0.250 0.125
La1 La 0.044 0.044 0.645
N1 N 0.000 0.000 0.000
N2 N 0.000 0.250 0.375
# - Spin magnetization: 0.0 μB per cell
# - Raw formation energy: -930 kJ/mol of formula units
# - V: 29.8 Å³ per atom

---

(4)
# NaLaN2 | the Alexandria database | GGA-PBE | relaxed
data_NaLaN2
_chemical_formula_sum 'Na4 La4 N8'
_symmetry_space_group_name_H-M 'F m -3 m'
_symmetry_Int_Tables_number 225
_symmetry_space_group_name_Hall '-F 4 2 3'
_cell_length_a 6.127
_cell_length_b 6.127
_cell_length_c 6.127
_cell_angle_alpha 90.00
_cell_angle_beta 90.00
_cell_angle_gamma 90.00
loop_
_atom_site_label
_atom_site_type_symbol
_atom_site_fract_x
_atom_site_fract_y
_atom_site_fract_z
Na1 Na 0.000 0.000 0.000
La1 La 0.000 0.000 0.500
N1 N 0.250 0.250 0.250
# - E above lowest polymorph: 0.00 eV per formula unit
# - Spin magnetization: 8.0 μB per cell
# - Raw formation energy: -17 kJ/mol of formula units
# - V: 14.4 Å³ per atom

---

(5)
# Na2La4N | the Alexandria database | GGA-PBE | relaxed
data_Na2La4N
_chemical_formula_sum 'Na4 La8 N2'
_symmetry_space_group_name_H-M 'I 4/m m m'
_symmetry_Int_Tables_number 139
_symmetry_space_group_name_Hall '-I 4 2'
_cell_length_a 5.271
_cell_length_b 5.271
_cell_length_c 17.399
_cell_angle_alpha 90.00
_cell_angle_beta 90.00
_cell_angle_gamma 90.00
loop_
_atom_site_label
_atom_site_type_symbol
_atom_site_fract_x
_atom_site_fract_y
_atom_site_fract_z
Na1 Na 0.000 0.000 0.154
La1 La 0.000 0.000 0.365
La2 La 0.000 0.500 0.000
N1 N 0.000 0.000 0.500
# - Spin magnetization: 0.0 μB per cell
# - Raw formation energy: -108 kJ/mol of formula units
# - V: 34.5 Å³ per atom

---

(6)
# NaLaNbN3 | the Alexandria database | GGA-PBE | relaxed
data_NaLaNbN3
_chemical_formula_sum 'Na4 La4 Nb4 N12'
_symmetry_space_group_name_H-M 'C 1 2/c 1'
_symmetry_Int_Tables_number 15
_symmetry_space_group_name_Hall '-C 2yc'
_cell_length_a 5.701
_cell_length_b 11.400
_cell_length_c 5.597
_cell_angle_alpha 90.00
_cell_angle_beta 103.92
_cell_angle_gamma 90.00
loop_
_atom_site_label
_atom_site_type_symbol
_atom_site_fract_x
_atom_site_fract_y
_atom_site_fract_z
Na1 Na 0.000 0.067 0.250
La1 La 0.000 0.250 0.750
Nb1 Nb 0.000 0.450 0.250
N1 N 0.000 0.273 0.250
N2 N 0.210 0.437 0.982
# - Spin magnetization: 0.0 μB per cell
# - Raw formation energy: -522 kJ/mol of formula units
# - V: 14.7 Å³ per atom

---

(7)
# NaLa2NpN4 | the Alexandria database | GGA-PBE | relaxed
data_NaLa2NpN4
_chemical_formula_sum 'Na4 La8 Np4 N16'
_symmetry_space_group_name_H-M 'F m m 2'
_symmetry_Int_Tables_number 42
_symmetry_space_group_name_Hall 'F 2 -2'
_cell_length_a 7.264
_cell_length_b 10.192
_cell_length_c 7.247
_cell_angle_alpha 90.00
_cell_angle_beta 90.00
_cell_angle_gamma 90.00
loop_
_atom_site_label
_atom_site_type_symbol
_atom_site_fract_x
_atom_site_fract_y
_atom_site_fract_z
Na1 Na 0.000 0.000 0.000
La1 La 0.250 0.250 0.241
Np1 Np 0.000 0.000 0.483
N1 N 0.000 0.204 0.487
N2 N 0.226 0.000 0.281
# - Spin magnetization: 7.0 μB per cell
# - Raw formation energy: -809 kJ/mol of formula units
# - V: 16.8 Å³ per atom

---

(8)
# NaLaNp4N8 | the Alexandria database | GGA-PBE | relaxed
data_NaLaNp4N8
_chemical_formula_sum 'Na3 La3 Np12 N24'
_symmetry_space_group_name_H-M 'R 3 m'
_symmetry_Int_Tables_number 160
_symmetry_space_group_name_Hall 'R 3 -2"'
_cell_length_a 6.9188
_cell_length_b 6.9188
_cell_length_c 16.1759
_cell_angle_alpha 90.00
_cell_angle_beta 90.00
_cell_angle_gamma 120.00
loop_
_atom_site_label
_atom_site_type_symbol
_atom_site_fract_x
_atom_site_fract_y
_atom_site_fract_z
Na1 Na 0.0000 0.0000 0.0000
La1 La 0.0000 0.0000 0.3897
Np1 Np 0.0000 0.0000 0.6186
Np2 Np 0.1682 0.3363 0.8351
N1 N 0.0000 0.0000 0.2352
N2 N 0.0000 0.0000 0.7617
N3 N 0.0451 0.5225 0.7705
N4 N 0.1749 0.3499 0.5676
# - Spin magnetization: 24.0 μB per cell
# - Raw formation energy: -1279 kJ/mol of formula units
# - V: 16.0 Å³ per atom

---

(9)
# NaLaNO2 | the Alexandria database | GGA-PBE | relaxed
data_NaLaNO2
_chemical_formula_sum 'Na1 La1 N1 O2'
_symmetry_space_group_name_H-M 'P 4/m m m'
_symmetry_Int_Tables_number 123
_symmetry_space_group_name_Hall '-P 4 2'
_cell_length_a 4.140
_cell_length_b 4.140
_cell_length_c 4.062
_cell_angle_alpha 90.00
_cell_angle_beta 90.00
_cell_angle_gamma 90.00
loop_
_atom_site_label
_atom_site_type_symbol
_atom_site_fract_x
_atom_site_fract_y
_atom_site_fract_z
Na1 Na 0.000 0.000 0.000
La1 La 0.500 0.500 0.500
N1 N 0.000 0.000 0.500
O1 O 0.000 0.500 0.000
# - Spin magnetization: 3.0 μB per cell
# - Raw formation energy: -283 kJ/mol of formula units
# - V: 13.9 Å³ per atom

---

(10)
# NaLaNO2 | the Alexandria database | GGA-PBE | relaxed
data_NaLaNO2
_chemical_formula_sum 'Na1 La1 N1 O2'
_symmetry_space_group_name_H-M 'P 4/m m m'
_symmetry_Int_Tables_number 123
_symmetry_space_group_name_Hall '-P 4 2'
_cell_length_a 4.538
_cell_length_b 4.538
_cell_length_c 4.979
_cell_angle_alpha 90.00
_cell_angle_beta 90.00
_cell_angle_gamma 90.00
loop_
_atom_site_label
_atom_site_type_symbol
_atom_site_fract_x
_atom_site_fract_y
_atom_site_fract_z
Na1 Na 0.000 0.000 0.000
La1 La 0.500 0.500 0.500
N1 N 0.500 0.500 0.000
O1 O 0.000 0.500 0.500
# - Spin magnetization: 2.4 μB per cell
# - Raw formation energy: -381 kJ/mol of formula units
# - V: 20.5 Å³ per atom

---

(11)
# NaLa3P2N6 | the Alexandria database | GGA-PBE | relaxed
data_NaLa3P2N6
_chemical_formula_sum 'Na1 La3 P2 N6'
_symmetry_space_group_name_H-M 'P -3 m 1'
_symmetry_Int_Tables_number 164
_symmetry_space_group_name_Hall '-P 3 2"'
_cell_length_a 5.7948
_cell_length_b 5.7948
_cell_length_c 6.3508
_cell_angle_alpha 90.00
_cell_angle_beta 90.00
_cell_angle_gamma 120.00
loop_
_atom_site_label
_atom_site_type_symbol
_atom_site_fract_x
_atom_site_fract_y
_atom_site_fract_z
Na1 Na 0.0000 0.0000 0.0000
La1 La 0.0000 0.0000 0.5000
La2 La 0.3333 0.6667 0.1509
P1 P 0.3333 0.6667 0.6938
N1 N 0.1802 0.3603 0.7774
# - Spin magnetization: 1.5 μB per cell
# - Raw formation energy: -1036 kJ/mol of formula units
# - V: 15.4 Å³ per atom

---

The lowest V belongs to which entry?
number 9

---

What did the sixth record say?
# NaLaNbN3 | the Alexandria database | GGA-PBE | relaxed
data_NaLaNbN3
_chemical_formula_sum 'Na4 La4 Nb4 N12'
_symmetry_space_group_name_H-M 'C 1 2/c 1'
_symmetry_Int_Tables_number 15
_symmetry_space_group_name_Hall '-C 2yc'
_cell_length_a 5.701
_cell_length_b 11.400
_cell_length_c 5.597
_cell_angle_alpha 90.00
_cell_angle_beta 103.92
_cell_angle_gamma 90.00
loop_
_atom_site_label
_atom_site_type_symbol
_atom_site_fract_x
_atom_site_fract_y
_atom_site_fract_z
Na1 Na 0.000 0.067 0.250
La1 La 0.000 0.250 0.750
Nb1 Nb 0.000 0.450 0.250
N1 N 0.000 0.273 0.250
N2 N 0.210 0.437 0.982
# - Spin magnetization: 0.0 μB per cell
# - Raw formation energy: -522 kJ/mol of formula units
# - V: 14.7 Å³ per atom